VASP calculation (PBE) on crystalline RbGaNi3 at its relaxed geometry.

Cell: 4.689 4.689 4.689 Å, 90.00 90.00 90.00°
Positions (direct):
Rb 0.000 0.000 0.000
Ga 0.500 0.500 0.500
Ni 0.000 0.000 0.500
Ni 0.000 0.500 0.000
Ni 0.500 0.000 0.000

Its total energy is -11.35 eV for the cell shown.